Compound: Zn2PdO4
Source: Alexandria via LeMat-Bulk
Functional: PBE
Structure: optimized geometry

- ΔE_f (raw): -0.650 eV per atom
- Energy above the most stable polymorph in this dataset: 332.0 meV per atom

Unit cell a=8.6880 b=8.6880 c=8.6880 alpha=90.00 beta=90.00 gamma=90.00
Closest atoms and distances in Å follow each position.
Space group Fd-3m (No. 227, origin choice 2)
One atom of each set of equivalent atoms:
Zn: 0.0000 0.0000 0.0000 x16  6 O 2.09
Pd: 0.1250 0.1250 0.6250 x8  4 O 2.02
O: 0.0093 0.0093 0.2407 x32  1 Pd 2.02, 3 Zn 2.09

Compound: MgSe
Source: Alexandria via LeMat-Bulk
Functional: PBE
Structure: optimized geometry

- ΔE_f (raw): -1.198 eV per atom

Unit cell a=4.2293 b=13.0617 c=6.3115 alpha=90.00 beta=90.00 gamma=90.00
Closest atoms and distances in Å follow each position.
Space group Pmmn (No. 59, origin choice 2)
One atom of each set of equivalent atoms:
Mg: 0.2500 0.1000 0.0740 x4  4 Se 2.59-2.62
Mg: 0.2500 0.7500 0.4222 x2  4 Se 2.59
Se: 0.2500 0.2500 0.3415 x2  4 Mg 2.59
Se: 0.2500 0.5952 0.1666 x4  4 Mg 2.59-2.62

Compound: Pm8Ho2Er3
Source: Alexandria via LeMat-Bulk
Functional: PBE
Structure: optimized geometry

- Energy above the most stable polymorph in this dataset: 0.0 meV per atom
- E_form: 0.08 eV/atom

Unit cell a=20.7302 b=11.5635 c=3.6670 alpha=90.00 beta=100.13 gamma=90.00
Closest atoms and distances in Å follow each position.
Space group C2/m (No. 12)
One atom of each set of equivalent atoms:
Pm: 0.0762 0.0000 0.0767 x4  3 Pm 3.11-3.45
Pm: 0.1307 0.5000 0.6314 x4  2 Er 3.23-3.24, 2 Ho 3.50-3.51, 4 Pm 3.52-3.53
Pm: 0.1694 0.2485 0.1713 x8  7 Pm 3.45-3.77, 3 Ho 3.58-3.65
Ho: 0.2229 0.0000 0.7248 x4  10 Pm 3.50-3.65, 2 Ho 3.67
Er: 0.0000 0.2383 0.5000 x4  4 Er 3.54-3.67, 8 Pm 3.65-3.92
Er: 0.0000 0.5000 0.0000 x2  4 Pm 3.23-3.24, 4 Er 3.54

Compound: Mg3ZnCd
Source: Alexandria via LeMat-Bulk
Functional: PBE
Structure: optimized geometry

- Energy above the most stable polymorph in this dataset: 226.5 meV per atom
- E_form: 0.17 eV/atom

Unit cell a=5.0361 b=5.0361 c=5.0361 alpha=90.00 beta=90.00 gamma=90.00
Closest atoms and distances in Å follow each position.
Space group Pm-3m (No. 221)
One atom of each set of equivalent atoms:
Mg: 0.0000 0.0000 0.5000 x3  2 Zn 2.52
Zn: 0.0000 0.0000 0.0000 x1  6 Mg 2.52
Cd: 0.5000 0.5000 0.5000 x1  12 Mg 3.56